*P*
The following is a GGA-PBE calculation of a relaxed Li3Mg6Ga crystal, from Alexandria via LeMat-Bulk.

As for the space group: P2_1/m, No. 11. For the total moment, the calculation gives 0.0 μB/f.u.

```
Li3Mg6Ga
1.0
8.203 0.000 0.000
0.000 4.957 0.000
-4.011 0.000 10.114
Li Mg Ga
6 12 2
direct
0.097 0.250 0.226 Li
0.295 0.250 0.026 Li
0.325 0.750 0.379 Li
0.675 0.250 0.621 Li
0.705 0.750 0.974 Li
0.903 0.750 0.774 Li
0.068 0.250 0.712 Mg
0.107 0.750 0.077 Mg
0.270 0.250 0.518 Mg
0.291 0.750 0.866 Mg
0.493 0.250 0.329 Mg
0.493 0.250 0.833 Mg
0.507 0.750 0.167 Mg
0.507 0.750 0.671 Mg
0.709 0.250 0.134 Mg
0.730 0.750 0.482 Mg
0.893 0.250 0.923 Mg
0.932 0.750 0.288 Mg
0.116 0.750 0.577 Ga
0.884 0.250 0.423 Ga
```


*Q*
The following is a GGA-PBE calculation of a relaxed Li3Mg6Ga crystal, from Alexandria via LeMat-Bulk.

As for the space group: Cmc2_1, No. 36. For the total moment, the calculation gives 0.0 μB/f.u.

```
Li3Mg6Ga
1.0
4.874 -8.163 0.000
4.874 8.163 0.000
0.000 0.000 5.397
Li Mg Ga
6 12 2
direct
0.116 0.884 0.500 Li
0.234 0.458 0.819 Li
0.458 0.234 0.319 Li
0.542 0.766 0.819 Li
0.766 0.542 0.319 Li
0.884 0.116 0.000 Li
0.052 0.460 0.264 Mg
0.119 0.200 0.453 Mg
0.200 0.119 0.953 Mg
0.212 0.788 0.047 Mg
0.441 0.559 0.323 Mg
0.460 0.052 0.764 Mg
0.540 0.948 0.264 Mg
0.559 0.441 0.823 Mg
0.788 0.212 0.547 Mg
0.800 0.881 0.453 Mg
0.881 0.800 0.953 Mg
0.948 0.540 0.764 Mg
0.281 0.719 0.548 Ga
0.719 0.281 0.048 Ga
```


The structure with the most favorable energy is *P*; the runner-up is 46 meV per atom above it.


*P*
The following is a GGA-PBE calculation of a relaxed Li4Mg2Ga3 crystal, from Alexandria via LeMat-Bulk.

As for the space group: C2/m, No. 12. For the total moment, the calculation gives 0.0 μB/f.u.

```
Li4Mg2Ga3
1.0
4.918 -2.257 0.000
4.918 2.257 0.000
-4.597 0.000 7.166
Li Mg Ga
4 2 3
direct
0.019 0.019 0.343 Li
0.328 0.328 0.117 Li
0.672 0.672 0.883 Li
0.981 0.981 0.657 Li
0.334 0.334 0.773 Mg
0.666 0.666 0.227 Mg
0.000 0.000 0.000 Ga
0.348 0.348 0.444 Ga
0.652 0.652 0.556 Ga
```


*Q*
The following is a GGA-PBE calculation of a relaxed Li4Mg2Ga3 crystal, from Alexandria via LeMat-Bulk.

As for the space group: C2/m, No. 12. For the total moment, the calculation gives 0.0 μB/f.u.

```
Li4Mg2Ga3
1.0
6.262 -2.170 0.000
6.262 2.170 0.000
-2.135 0.000 5.733
Li Mg Ga
4 2 3
direct
0.051 0.051 0.350 Li
0.271 0.271 0.657 Li
0.729 0.729 0.343 Li
0.949 0.949 0.650 Li
0.157 0.157 0.001 Mg
0.843 0.843 0.999 Mg
0.391 0.391 0.343 Ga
0.500 0.500 0.000 Ga
0.609 0.609 0.657 Ga
```


The structure with the most favorable energy is *P*; the runner-up is 10 meV per atom above it.


*P*
The following is a GGA-PBE calculation of a relaxed Li8Mg6Ga crystal, from Alexandria via LeMat-Bulk.

As for the space group: R-3, No. 148. For the total moment, the calculation gives 0.0 μB/f.u.

```
Li8Mg6Ga
1.0
4.102 2.368 5.156
-4.102 2.368 5.156
0.000 -4.736 5.156
Li Mg Ga
8 6 1
direct
0.046 0.873 0.365 Li
0.127 0.635 0.954 Li
0.236 0.236 0.236 Li
0.365 0.046 0.873 Li
0.635 0.954 0.127 Li
0.764 0.764 0.764 Li
0.873 0.365 0.046 Li
0.954 0.127 0.635 Li
0.175 0.429 0.625 Mg
0.375 0.825 0.571 Mg
0.429 0.625 0.175 Mg
0.571 0.375 0.825 Mg
0.625 0.175 0.429 Mg
0.825 0.571 0.375 Mg
0.000 0.000 0.000 Ga
```


*Q*
The following is a GGA-PBE calculation of a relaxed Li8Mg6Ga crystal, from Alexandria via LeMat-Bulk.

As for the space group: R-3, No. 148. For the total moment, the calculation gives 0.0 μB/f.u.

```
Li8Mg6Ga
1.0
3.747 2.164 6.162
-3.747 2.164 6.162
0.000 -4.327 6.162
Li Mg Ga
8 6 1
direct
0.151 0.151 0.151 Li
0.230 0.700 0.398 Li
0.300 0.602 0.770 Li
0.398 0.230 0.700 Li
0.602 0.770 0.300 Li
0.700 0.398 0.230 Li
0.770 0.300 0.602 Li
0.849 0.849 0.849 Li
0.067 0.542 0.236 Mg
0.236 0.067 0.542 Mg
0.458 0.764 0.933 Mg
0.542 0.236 0.067 Mg
0.764 0.933 0.458 Mg
0.933 0.458 0.764 Mg
0.000 0.000 0.000 Ga
```


The structure with the most favorable energy is *Q*; the runner-up is 30 meV per atom above it.


*P*
The following is a GGA-PBE calculation of a relaxed Li4Mg2Ga crystal, from Alexandria via LeMat-Bulk.

As for the space group: P2_1/m, No. 11. For the total moment, the calculation gives 0.0 μB/f.u.

```
Li4Mg2Ga
1.0
7.290 0.000 0.000
0.000 5.191 0.000
-3.390 0.000 7.119
Li Mg Ga
8 4 2
direct
0.120 0.009 0.201 Li
0.120 0.491 0.201 Li
0.123 0.750 0.570 Li
0.239 0.250 0.824 Li
0.761 0.750 0.176 Li
0.877 0.250 0.430 Li
0.880 0.509 0.799 Li
0.880 0.991 0.799 Li
0.323 0.750 0.999 Mg
0.427 0.250 0.566 Mg
0.573 0.750 0.434 Mg
0.677 0.250 0.001 Mg
0.461 0.250 0.219 Ga
0.539 0.750 0.781 Ga
```


*Q*
The following is a GGA-PBE calculation of a relaxed Li4Mg2Ga crystal, from Alexandria via LeMat-Bulk.

As for the space group: Immm, No. 71. For the total moment, the calculation gives 0.0 μB/f.u.

```
Li4Mg2Ga
1.0
2.892 0.000 0.000
0.000 4.625 0.000
0.000 0.000 19.312
Li Mg Ga
8 4 2
direct
0.000 0.000 0.065 Li
0.000 0.000 0.935 Li
0.000 0.500 0.133 Li
0.000 0.500 0.867 Li
0.500 0.000 0.367 Li
0.500 0.000 0.633 Li
0.500 0.500 0.435 Li
0.500 0.500 0.565 Li
0.000 0.500 0.291 Mg
0.000 0.500 0.709 Mg
0.500 0.000 0.209 Mg
0.500 0.000 0.791 Mg
0.000 0.000 0.500 Ga
0.500 0.500 0.000 Ga
```


The structure with the most favorable energy is *Q*; the runner-up is 32 meV per atom above it.


*P*
The following is a GGA-PBE calculation of a relaxed LiMg6Ga crystal, from Alexandria via LeMat-Bulk.

As for the space group: Cmmm, No. 65. For the total moment, the calculation gives 0.0 μB/f.u.

```
LiMg6Ga
1.0
8.860 0.000 0.000
0.000 9.145 0.000
0.000 0.000 4.238
Li Mg Ga
2 12 2
direct
0.000 0.000 0.000 Li
0.500 0.500 0.000 Li
0.000 0.251 0.500 Mg
0.000 0.749 0.500 Mg
0.248 0.500 0.500 Mg
0.250 0.250 0.000 Mg
0.250 0.750 0.000 Mg
0.252 0.000 0.500 Mg
0.500 0.249 0.500 Mg
0.500 0.751 0.500 Mg
0.748 0.000 0.500 Mg
0.750 0.250 0.000 Mg
0.750 0.750 0.000 Mg
0.752 0.500 0.500 Mg
0.000 0.500 0.000 Ga
0.500 0.000 0.000 Ga
```


*Q*
The following is a GGA-PBE calculation of a relaxed LiMg6Ga crystal, from Alexandria via LeMat-Bulk.

As for the space group: Amm2, No. 38. For the total moment, the calculation gives 0.0 μB/f.u.

```
LiMg6Ga
1.0
5.086 0.000 0.000
0.000 6.212 0.000
0.000 0.000 10.747
Li Mg Ga
2 12 2
direct
0.000 0.000 0.000 Li
0.000 0.500 0.500 Li
0.000 0.249 0.751 Mg
0.000 0.251 0.251 Mg
0.000 0.749 0.251 Mg
0.000 0.751 0.751 Mg
0.500 0.000 0.335 Mg
0.500 0.000 0.834 Mg
0.500 0.250 0.082 Mg
0.500 0.250 0.582 Mg
0.500 0.500 0.334 Mg
0.500 0.500 0.835 Mg
0.500 0.750 0.082 Mg
0.500 0.750 0.582 Mg
0.000 0.000 0.501 Ga
0.000 0.500 0.001 Ga
```


*R*
The following is a GGA-PBE calculation of a relaxed LiMg6Ga crystal, from Alexandria via LeMat-Bulk.

As for the space group: C2/m, No. 12. For the total moment, the calculation gives 0.0 μB/f.u.

```
LiMg6Ga
1.0
8.162 0.000 0.000
0.000 6.055 0.000
-2.645 0.000 7.699
Li Mg Ga
2 12 2
direct
0.000 0.000 0.000 Li
0.500 0.500 0.000 Li
0.148 0.000 0.436 Mg
0.181 0.249 0.801 Mg
0.181 0.751 0.801 Mg
0.319 0.251 0.199 Mg
0.319 0.749 0.199 Mg
0.352 0.500 0.564 Mg
0.648 0.500 0.436 Mg
0.681 0.251 0.801 Mg
0.681 0.749 0.801 Mg
0.819 0.249 0.199 Mg
0.819 0.751 0.199 Mg
0.852 0.000 0.564 Mg
0.000 0.500 0.500 Ga
0.500 0.000 0.500 Ga
```


The structure with the most favorable energy is *Q*; the runner-up is 14 meV per atom above it.


*P*
The following is a GGA-PBE calculation of a relaxed Li6Mg8Ga crystal, from Alexandria via LeMat-Bulk.

As for the space group: R-3, No. 148. For the total moment, the calculation gives 0.0 μB/f.u.

```
Li6Mg8Ga
1.0
4.012 2.317 5.916
-4.012 2.317 5.916
0.000 -4.633 5.916
Li Mg Ga
6 8 1
direct
0.141 0.454 0.768 Li
0.232 0.859 0.546 Li
0.454 0.768 0.141 Li
0.546 0.232 0.859 Li
0.768 0.141 0.454 Li
0.859 0.546 0.232 Li
0.029 0.728 0.392 Mg
0.162 0.162 0.162 Mg
0.272 0.608 0.971 Mg
0.392 0.029 0.728 Mg
0.608 0.971 0.272 Mg
0.728 0.392 0.029 Mg
0.838 0.838 0.838 Mg
0.971 0.272 0.608 Mg
0.500 0.500 0.500 Ga
```


*Q*
The following is a GGA-PBE calculation of a relaxed Li6Mg8Ga crystal, from Alexandria via LeMat-Bulk.

As for the space group: P-3, No. 147. For the total moment, the calculation gives 0.0 μB/f.u.

```
Li6Mg8Ga
1.0
7.777 0.000 0.000
-3.889 6.735 0.000
0.000 0.000 6.343
Li Mg Ga
6 8 1
direct
0.078 0.658 0.136 Li
0.342 0.419 0.136 Li
0.419 0.078 0.864 Li
0.581 0.922 0.136 Li
0.658 0.581 0.864 Li
0.922 0.342 0.864 Li
0.031 0.765 0.679 Mg
0.235 0.266 0.679 Mg
0.266 0.031 0.321 Mg
0.333 0.667 0.512 Mg
0.667 0.333 0.488 Mg
0.734 0.969 0.679 Mg
0.765 0.734 0.321 Mg
0.969 0.235 0.321 Mg
0.000 0.000 0.000 Ga
```


The structure with the most favorable energy is *Q*; the runner-up is 33 meV per atom above it.


*P*
The following is a GGA-PBE calculation of a relaxed Li3MgGa crystal, from Alexandria via LeMat-Bulk.

As for the space group: P-1, No. 2. For the total moment, the calculation gives 0.0 μB/f.u.

```
Li3MgGa
1.0
4.548 0.000 0.000
-2.250 4.779 0.000
-0.013 -1.311 8.050
Li Mg Ga
6 2 2
direct
0.019 0.038 0.330 Li
0.141 0.279 0.049 Li
0.272 0.543 0.786 Li
0.728 0.457 0.214 Li
0.859 0.721 0.951 Li
0.981 0.962 0.670 Li
0.340 0.678 0.443 Mg
0.660 0.322 0.557 Mg
0.433 0.870 0.132 Ga
0.567 0.130 0.868 Ga
```


*Q*
The following is a GGA-PBE calculation of a relaxed Li3MgGa crystal, from Alexandria via LeMat-Bulk.

As for the space group: Pm-3m, No. 221. For the total moment, the calculation gives 0.0 μB/f.u.

```
Li3MgGa
1.0
4.807 0.000 0.000
0.000 4.807 0.000
0.000 0.000 4.807
Li Mg Ga
3 1 1
direct
0.000 0.000 0.500 Li
0.000 0.500 0.000 Li
0.500 0.000 0.000 Li
0.500 0.500 0.500 Mg
0.000 0.000 0.000 Ga
```


*R*
The following is a GGA-PBE calculation of a relaxed Li3MgGa crystal, from Alexandria via LeMat-Bulk.

As for the space group: Pm-3m, No. 221. For the total moment, the calculation gives 0.0 μB/f.u.

```
Li3MgGa
1.0
5.010 0.000 0.000
0.000 5.010 0.000
0.000 0.000 5.010
Li Mg Ga
3 1 1
direct
0.000 0.000 0.500 Li
0.000 0.500 0.000 Li
0.500 0.000 0.000 Li
0.000 0.000 0.000 Mg
0.500 0.500 0.500 Ga
```


The structure with the most favorable energy is *P*; the runner-up is 343 meV per atom above it.


*P*
The following is a GGA-PBE calculation of a relaxed Li3Mg4Ga crystal, from Alexandria via LeMat-Bulk.

As for the space group: C2/m, No. 12. For the total moment, the calculation gives 0.0 μB/f.u.

```
Li3Mg4Ga
1.0
24.494 0.000 0.000
0.000 4.470 0.000
-0.398 0.000 3.140
Li Mg Ga
6 8 2
direct
0.000 0.000 0.000 Li
0.152 0.000 0.650 Li
0.348 0.500 0.350 Li
0.500 0.500 0.000 Li
0.652 0.500 0.650 Li
0.848 0.000 0.350 Li
0.092 0.500 0.089 Mg
0.217 0.500 0.218 Mg
0.283 0.000 0.782 Mg
0.408 0.000 0.911 Mg
0.592 0.000 0.089 Mg
0.717 0.000 0.218 Mg
0.783 0.500 0.782 Mg
0.908 0.500 0.911 Mg
0.000 0.500 0.500 Ga
0.500 0.000 0.500 Ga
```


*Q*
The following is a GGA-PBE calculation of a relaxed Li3Mg4Ga crystal, from Alexandria via LeMat-Bulk.

As for the space group: R-3m, No. 166. For the total moment, the calculation gives 0.0 μB/f.u.

```
Li3Mg4Ga
1.0
2.365 1.365 7.930
-2.365 1.365 7.930
0.000 -2.731 7.930
Li Mg Ga
3 4 1
direct
0.000 0.000 0.000 Li
0.249 0.249 0.249 Li
0.751 0.751 0.751 Li
0.124 0.124 0.124 Mg
0.375 0.375 0.375 Mg
0.625 0.625 0.625 Mg
0.876 0.876 0.876 Mg
0.500 0.500 0.500 Ga
```


The structure with the most favorable energy is *Q*; the runner-up is 77 meV per atom above it.


*P*
The following is a GGA-PBE calculation of a relaxed Li5Mg4Ga crystal, from Alexandria via LeMat-Bulk.

As for the space group: I4mm, No. 107. For the total moment, the calculation gives 0.0 μB/f.u.

```
Li5Mg4Ga
1.0
-4.420 4.420 2.535
4.420 -4.420 2.535
4.420 4.420 -2.535
Li Mg Ga
5 4 1
direct
0.000 0.000 0.000 Li
0.085 0.085 0.642 Li
0.085 0.443 0.000 Li
0.443 0.085 0.000 Li
0.443 0.443 0.358 Li
0.057 0.741 0.317 Mg
0.424 0.741 0.683 Mg
0.741 0.057 0.317 Mg
0.741 0.424 0.683 Mg
0.528 0.528 0.000 Ga
```


*Q*
The following is a GGA-PBE calculation of a relaxed Li5Mg4Ga crystal, from Alexandria via LeMat-Bulk.

As for the space group: C2/m, No. 12. For the total moment, the calculation gives 0.0 μB/f.u.

```
Li5Mg4Ga
1.0
7.979 -1.560 0.000
7.979 1.560 0.000
-4.418 0.000 8.599
Li Mg Ga
5 4 1
direct
0.000 0.000 0.000 Li
0.332 0.332 0.847 Li
0.335 0.335 0.394 Li
0.665 0.665 0.606 Li
0.668 0.668 0.153 Li
0.158 0.158 0.874 Mg
0.468 0.468 0.720 Mg
0.532 0.532 0.280 Mg
0.842 0.842 0.126 Mg
0.000 0.000 0.500 Ga
```


The structure with the most favorable energy is *P*; the runner-up is 15 meV per atom above it.


*P*
The following is a GGA-PBE calculation of a relaxed Li2Mg2Ga3 crystal, from Alexandria via LeMat-Bulk.

As for the space group: C2/m, No. 12. For the total moment, the calculation gives 0.0 μB/f.u.

```
Li2Mg2Ga3
1.0
9.907 0.000 0.000
0.000 4.330 0.000
-2.752 0.000 5.932
Li Mg Ga
4 4 6
direct
0.137 0.000 0.212 Li
0.363 0.500 0.788 Li
0.637 0.500 0.212 Li
0.863 0.000 0.788 Li
0.149 0.000 0.766 Mg
0.351 0.500 0.234 Mg
0.649 0.500 0.766 Mg
0.851 0.000 0.234 Mg
0.000 0.500 0.000 Ga
0.112 0.500 0.437 Ga
0.388 0.000 0.563 Ga
0.500 0.000 0.000 Ga
0.612 0.000 0.437 Ga
0.888 0.500 0.563 Ga
```


*Q*
The following is a GGA-PBE calculation of a relaxed Li2Mg2Ga3 crystal, from Alexandria via LeMat-Bulk.

As for the space group: P-1, No. 2. For the total moment, the calculation gives 0.0 μB/f.u.

```
Li2Mg2Ga3
1.0
3.948 0.000 0.000
1.951 4.485 0.000
1.851 -0.025 7.350
Li Mg Ga
2 2 3
direct
0.150 0.088 0.117 Li
0.850 0.912 0.883 Li
0.419 0.287 0.385 Mg
0.581 0.713 0.615 Mg
0.204 0.311 0.770 Ga
0.500 0.500 0.000 Ga
0.796 0.689 0.230 Ga
```


The structure with the most favorable energy is *Q*; the runner-up is 32 meV per atom above it.